Material: TlGa4Hg
Method: DFT, GGA-PBE
State: relaxed

abc: 5.768 5.768 5.768
angles: 60.00 60.00 60.00
Element x y z (fractional)
Tl 0.000 0.000 0.000
Ga 0.126 0.625 0.625
Ga 0.625 0.126 0.625
Ga 0.625 0.625 0.126
Ga 0.625 0.625 0.625
Hg 0.250 0.250 0.250

Computed properties:
Size of the total moment in μB/cell: 0.0
Electronic total energy in eV per cell: -14.3
Crystal system: cubic
Formation enthalpy at 0 K in eV/atom: 0.08
V in Å³ per cell: 135.67